No. 1
A relaxed structure of Dy3HoTh3. Source: Alexandria via LeMat-Bulk, functional GGA-PBE.

Magnetic moment, μB/f.u.: 0.0
Uncorrected energy, eV/atom: -5.77
D(E_F), states/eV per cell: 20.39

Geometry as extended XYZ:
```
14
Lattice="9.4457 0.0000 0.0000 -4.7228 8.1802 0.0000 0.0000 0.0000 5.8354" Properties=species:S:1:pos:R:3 pbc="T T T"
Dy -2.0691 5.0825 1.4589
Dy 1.3558 3.8471 1.4589
Dy 4.0096 0.7494 4.3766
Dy 0.7133 7.4308 1.4589
Dy 3.3670 4.3331 4.3766
Dy 6.7919 3.0977 4.3766
Ho 0.0000 5.4535 4.3766
Ho 4.7228 2.7267 1.4589
Th -3.3903 6.6526 4.3766
Th 0.6567 1.9178 4.3766
Th 1.9892 0.3902 1.4589
Th 2.7336 7.7899 4.3766
Th 4.0662 6.2623 1.4589
Th 8.1131 1.5276 1.4589
```

No. 2
A relaxed structure of DyHoTh6. Source: Alexandria via LeMat-Bulk, functional GGA-PBE.

Magnetic moment, μB/f.u.: 0.0
Uncorrected energy, eV/atom: -6.58
D(E_F), states/eV per cell: 13.53

Geometry as extended XYZ:
```
8
Lattice="-2.9996 2.9996 7.1715 2.9996 -2.9996 7.1715 2.9996 2.9996 -7.1715" Properties=species:S:1:pos:R:3 pbc="T T T"
Dy 0.0000 0.0000 0.0000
Ho 0.0000 0.0000 7.1715
Th 2.9996 0.0000 1.8362
Th 0.0000 0.0000 3.5866
Th 2.9996 0.0000 5.3353
Th 0.0000 2.9996 1.8362
Th 0.0000 0.0000 10.7564
Th 0.0000 2.9996 5.3353
```

No. 3
A relaxed structure of Dy6HoTh. Source: Alexandria via LeMat-Bulk, functional GGA-PBE.

Magnetic moment, μB/f.u.: 0.0
Uncorrected energy, eV/atom: -4.92
D(E_F), states/eV per cell: 11.88

Geometry as extended XYZ:
```
8
Lattice="5.0235 0.0000 0.0000 0.0000 5.0235 0.0000 0.0000 0.0000 9.9787" Properties=species:S:1:pos:R:3 pbc="T T T"
Dy 0.0000 0.0000 0.0000
Dy 0.0000 0.0000 4.9893
Dy 0.0000 2.5118 2.4784
Dy 0.0000 2.5118 7.5003
Dy 2.5118 0.0000 2.4784
Dy 2.5118 0.0000 7.5003
Ho 2.5118 2.5118 4.9893
Th 2.5118 2.5118 0.0000
```

No. 4
A relaxed structure of Dy2Ho8Th. Source: Alexandria via LeMat-Bulk, functional GGA-PBE.

Magnetic moment, μB/f.u.: 0.0
Uncorrected energy, eV/atom: -4.81
D(E_F), states/eV per cell: 16.24

Geometry as extended XYZ:
```
11
Lattice="9.0127 -2.5015 0.0000 9.0127 2.5015 0.0000 -2.0810 0.0000 7.6259" Properties=species:S:1:pos:R:3 pbc="T T T"
Dy 3.8303 0.0000 1.0372
Dy 12.1140 0.0000 6.5887
Ho 0.3269 0.0000 1.7680
Ho 1.0258 0.0000 5.1859
Ho 4.5264 0.0000 4.5164
Ho 7.2859 0.0000 0.3581
Ho 8.6585 0.0000 7.2678
Ho 11.4179 0.0000 3.1095
Ho 14.9185 0.0000 2.4400
Ho 15.6174 0.0000 5.8579
Th 7.9722 0.0000 3.8130
```

No. 5
A relaxed structure of Dy5HoTh4. Source: Alexandria via LeMat-Bulk, functional GGA-PBE.

Magnetic moment, μB/f.u.: 0.0
Uncorrected energy, eV/atom: -5.51
D(E_F), states/eV per cell: 13.35

Geometry as extended XYZ:
```
10
Lattice="3.4817 0.0000 0.0000 -1.7323 9.0127 0.0000 -0.0051 -0.9138 10.5807" Properties=species:S:1:pos:R:3 pbc="T T T"
Dy 0.0000 0.0000 0.0000
Dy 0.0008 4.7780 9.5617
Dy 0.0005 6.1113 2.7781
Dy 1.7438 1.9877 7.8027
Dy 1.7435 3.3209 1.0190
Ho -0.0026 -0.4569 5.2904
Th 0.0023 2.9042 4.4024
Th 0.0029 7.6243 7.9080
Th 1.7414 0.4746 2.6727
Th 1.7420 5.1948 6.1783
```

No. 6
A relaxed structure of Dy12HoTh2. Source: Alexandria via LeMat-Bulk, functional GGA-PBE.

Magnetic moment, μB/f.u.: 0.0
Uncorrected energy, eV/atom: -4.86
D(E_F), states/eV per cell: 44.49

Geometry as extended XYZ:
```
30
Lattice="3.5277 -5.5563 0.0000 3.5277 5.5563 0.0000 -1.7732 0.0000 24.5171" Properties=species:S:1:pos:R:3 pbc="T T T"
Dy 1.7529 2.8127 4.9262
Dy 1.7516 2.9223 8.0928
Dy 1.7730 2.8898 13.6068
Dy 0.1450 0.0000 13.8384
Dy -0.0049 0.0000 21.2151
Dy 1.7632 2.7784 22.7249
Dy 3.5190 2.7784 1.7922
Dy 1.7515 0.0000 3.3237
Dy 1.7393 0.0000 10.0361
Dy 3.5092 2.8898 10.9103
Dy 3.5306 2.9223 16.4243
Dy 3.5293 2.8127 19.5908
Dy 1.7529 -2.8127 4.9262
Dy 1.7516 -2.9223 8.0928
Dy 1.7730 -2.8898 13.6068
Dy 3.5430 0.0000 14.4810
Dy 3.5307 0.0000 21.1934
Dy 1.7632 -2.7784 22.7249
Dy 3.5190 -2.7784 1.7922
Dy 5.2871 0.0000 3.3019
Dy 5.1372 0.0000 10.6786
Dy 3.5092 -2.8898 10.9103
Dy 3.5306 -2.9223 16.4243
Dy 3.5293 -2.8127 19.5908
Ho 1.7623 0.0000 0.0051
Ho 3.5200 0.0000 24.5120
Th 0.0585 0.0000 6.5867
Th 1.8382 0.0000 17.9512
Th 3.4440 0.0000 6.5658
Th 5.2237 0.0000 17.9304
```

No. 7
A relaxed structure of Dy2Ho5Th4. Source: Alexandria via LeMat-Bulk, functional GGA-PBE.

Magnetic moment, μB/f.u.: 0.0
Uncorrected energy, eV/atom: -5.33
D(E_F), states/eV per cell: 15.70

Geometry as extended XYZ:
```
11
Lattice="-1.7443 4.6482 11.4828 1.7443 -4.6482 11.4828 1.7443 4.6482 -11.4828" Properties=species:S:1:pos:R:3 pbc="T T T"
Dy 0.0000 0.0000 5.2743
Dy 0.0000 0.0000 17.6913
Ho 1.7443 2.7520 -3.4360
Ho 1.7443 2.7520 3.4360
Ho 0.0000 4.6482 0.0000
Ho 0.0000 1.8962 8.0468
Ho 0.0000 1.8962 14.9188
Th 0.0000 0.0000 2.1448
Th 1.7443 1.8923 0.0000
Th 0.0000 2.7559 11.4828
Th 0.0000 0.0000 20.8208
```

No. 8
A relaxed structure of Dy3Ho9Th2. Source: Alexandria via LeMat-Bulk, functional GGA-PBE.

Magnetic moment, μB/f.u.: 0.0
Uncorrected energy, eV/atom: -4.85
D(E_F), states/eV per cell: 20.82

Geometry as extended XYZ:
```
14
Lattice="-2.8131 5.2971 7.4879 2.8131 -5.2971 7.4879 2.8131 5.2971 -7.4879" Properties=species:S:1:pos:R:3 pbc="T T T"
Dy 0.0000 0.0000 0.0000
Dy 2.8131 2.0480 0.0000
Dy 0.0000 3.2491 7.4879
Ho 2.8131 3.5863 -3.2924
Ho 2.8131 -1.6925 5.9445
Ho 0.0000 1.7108 4.1954
Ho 0.0000 3.6046 1.5434
Ho 0.0000 0.0000 7.4879
Ho 2.8131 1.6925 5.9445
Ho 2.8131 3.5863 3.2924
Ho 0.0000 6.9896 1.5434
Ho 0.0000 1.7108 10.7803
Th 2.8131 0.0000 2.7795
Th 0.0000 5.2971 4.7084
```

No. 9
A relaxed structure of Dy5HoTh2. Source: Alexandria via LeMat-Bulk, functional GGA-PBE.

Magnetic moment, μB/f.u.: 0.0
Uncorrected energy, eV/atom: -5.20
D(E_F), states/eV per cell: 13.61

Geometry as extended XYZ:
```
8
Lattice="-1.7566 5.5804 6.5823 1.7566 -5.5804 6.5823 1.7566 5.5804 -6.5823" Properties=species:S:1:pos:R:3 pbc="T T T"
Dy 0.0000 0.0000 0.0000
Dy 1.7566 2.6169 -1.7155
Dy 1.7566 2.6169 1.7155
Dy 0.0000 2.9635 4.8667
Dy 0.0000 2.9635 8.2978
Ho 0.0000 5.5804 0.0000
Th 0.0000 0.0000 3.4019
Th 0.0000 0.0000 9.7627
```

No. 10
A relaxed structure of DyHo7Th2. Source: Alexandria via LeMat-Bulk, functional GGA-PBE.

Magnetic moment, μB/f.u.: 0.0
Uncorrected energy, eV/atom: -4.37
D(E_F), states/eV per cell: 14.35

Geometry as extended XYZ:
```
10
Lattice="4.3333 -8.3163 0.0000 4.3333 8.3163 0.0000 0.0000 0.0000 5.4701" Properties=species:S:1:pos:R:3 pbc="T T T"
Dy 0.0000 0.0000 0.0000
Ho 1.5236 1.8225 2.7351
Ho 4.3333 4.8896 0.0000
Ho 1.5236 -1.8225 2.7351
Ho 4.3333 0.0000 2.7351
Ho 7.1429 1.8225 2.7351
Ho 4.3333 -4.8896 0.0000
Ho 7.1429 -1.8225 2.7351
Th 4.3333 3.4103 2.7351
Th 4.3333 -3.4103 2.7351
```

No. 11
A relaxed structure of Dy4HoTh6. Source: Alexandria via LeMat-Bulk, functional GGA-PBE.

Magnetic moment, μB/f.u.: 0.0
Uncorrected energy, eV/atom: -5.71
D(E_F), states/eV per cell: 18.13

Geometry as extended XYZ:
```
11
Lattice="-3.1981 3.1981 8.9909 3.1981 -3.1981 8.9909 3.1981 3.1981 -8.9909" Properties=species:S:1:pos:R:3 pbc="T T T"
Dy 2.0191 2.0191 -2.2654
Dy 1.1790 -1.1790 11.2563
Dy 1.1790 1.1790 6.7254
Dy -1.1790 1.1790 11.2563
Ho 0.0000 0.0000 0.0000
Th 1.9917 1.9917 -5.5960
Th 3.1981 0.0000 0.0000
Th -1.2063 1.2063 14.5869
Th 1.2063 1.2063 3.3948
Th 0.0000 3.1981 0.0000
Th 1.2063 -1.2063 14.5869
```

No. 12
A relaxed structure of Dy3Ho3Th. Source: Alexandria via LeMat-Bulk, functional GGA-PBE.

Magnetic moment, μB/f.u.: 0.0
Uncorrected energy, eV/atom: -4.97
D(E_F), states/eV per cell: 22.53

Geometry as extended XYZ:
```
14
Lattice="9.5257 0.0000 0.0000 -4.7629 8.2495 0.0000 0.0000 0.0000 5.6678" Properties=species:S:1:pos:R:3 pbc="T T T"
Dy -0.6390 1.9898 1.4169
Dy -2.7201 7.8080 1.4169
Dy 1.4037 1.5483 4.2508
Dy 3.3591 6.7012 1.4169
Dy 7.4830 0.4415 4.2508
Dy 5.4019 6.2597 4.2508
Ho -1.3761 3.9515 4.2508
Ho -0.6528 7.4655 4.2508
Ho 2.7340 3.1674 1.4169
Ho 2.0288 5.0821 4.2508
Ho 5.4156 0.7840 1.4169
Ho 6.1389 4.2980 1.4169
Th 0.0000 5.4997 1.4169
Th 4.7629 2.7498 4.2508
```

No. 13
A relaxed structure of Dy15Ho4Th. Source: Alexandria via LeMat-Bulk, functional GGA-PBE.

Magnetic moment, μB/f.u.: 0.0
Uncorrected energy, eV/atom: -4.72
D(E_F), states/eV per cell: 26.83

Geometry as extended XYZ:
```
20
Lattice="5.0166 0.0000 0.0000 0.0000 5.0166 0.0000 0.0000 0.0000 24.9865" Properties=species:S:1:pos:R:3 pbc="T T T"
Dy 0.0000 0.0000 0.0000
Dy 0.0000 0.0000 5.0290
Dy 0.0000 0.0000 9.9943
Dy 0.0000 0.0000 14.9922
Dy 0.0000 0.0000 19.9575
Dy 0.0000 2.5083 2.4836
Dy 0.0000 2.5083 7.4955
Dy 0.0000 2.5083 12.4933
Dy 0.0000 2.5083 17.4910
Dy 0.0000 2.5083 22.5029
Dy 2.5083 0.0000 2.4836
Dy 2.5083 0.0000 7.4955
Dy 2.5083 0.0000 12.4933
Dy 2.5083 0.0000 17.4910
Dy 2.5083 0.0000 22.5029
Ho 2.5083 2.5083 4.9998
Ho 2.5083 2.5083 9.9971
Ho 2.5083 2.5083 14.9894
Ho 2.5083 2.5083 19.9867
Th 2.5083 2.5083 0.0000
```

No. 14
A relaxed structure of Dy9Ho2Th. Source: Alexandria via LeMat-Bulk, functional GGA-PBE.

Magnetic moment, μB/f.u.: 0.0
Uncorrected energy, eV/atom: -4.81
D(E_F), states/eV per cell: 17.96

Geometry as extended XYZ:
```
12
Lattice="5.0126 0.0000 0.0000 0.0000 5.0126 0.0000 0.0000 0.0000 15.0242" Properties=species:S:1:pos:R:3 pbc="T T T"
Dy 0.0000 0.0000 0.0000
Dy 0.0000 0.0000 5.0351
Dy 0.0000 0.0000 9.9891
Dy 0.0000 2.5063 2.4873
Dy 0.0000 2.5063 7.5121
Dy 0.0000 2.5063 12.5369
Dy 2.5063 0.0000 2.4873
Dy 2.5063 0.0000 7.5121
Dy 2.5063 0.0000 12.5369
Ho 2.5063 2.5063 5.0095
Ho 2.5063 2.5063 10.0146
Th 2.5063 2.5063 0.0000
```

No. 15
A relaxed structure of Dy3Ho8Th. Source: Alexandria via LeMat-Bulk, functional GGA-PBE.

Magnetic moment, μB/f.u.: 0.0
Uncorrected energy, eV/atom: -4.05
D(E_F), states/eV per cell: 15.60

Geometry as extended XYZ:
```
12
Lattice="-3.8287 3.8287 7.6913 3.8287 -3.8287 7.6913 3.8287 3.8287 -7.6913" Properties=species:S:1:pos:R:3 pbc="T T T"
Dy 0.0000 0.0000 0.0000
Dy 3.8287 0.0000 3.8456
Dy 0.0000 3.8287 3.8456
Ho 1.9171 1.9171 -1.9168
Ho 1.9116 -1.9116 5.7745
Ho 1.9171 1.9171 1.9168
Ho 1.9116 -1.9116 9.6081
Ho -1.9116 1.9116 5.7745
Ho 1.9116 1.9116 5.7745
Ho -1.9116 1.9116 9.6081
Ho 1.9116 1.9116 9.6081
Th 0.0000 0.0000 7.6913
```

No. 16
A relaxed structure of DyHo6Th. Source: Alexandria via LeMat-Bulk, functional GGA-PBE.

Magnetic moment, μB/f.u.: 0.0
Uncorrected energy, eV/atom: -4.90
D(E_F), states/eV per cell: 11.80

Geometry as extended XYZ:
```
8
Lattice="5.0103 0.0000 0.0000 0.0000 5.0103 0.0000 0.0000 0.0000 9.9449" Properties=species:S:1:pos:R:3 pbc="T T T"
Dy 0.0000 0.0000 0.0000
Ho 0.0000 2.5051 2.5038
Ho 0.0000 2.5051 7.4411
Ho 2.5051 0.0000 2.5038
Ho 2.5051 0.0000 7.4411
Ho 2.5051 2.5051 0.0000
Ho 2.5051 2.5051 4.9725
Th 0.0000 0.0000 4.9725
```

No. 17
A relaxed structure of Dy5Ho6Th2. Source: Alexandria via LeMat-Bulk, functional GGA-PBE.

Magnetic moment, μB/f.u.: 0.0
Uncorrected energy, eV/atom: -4.91
D(E_F), states/eV per cell: 36.87

Geometry as extended XYZ:
```
26
Lattice="11.4625 0.0000 0.0000 0.0000 20.5459 0.0000 0.0000 0.0000 3.5462" Properties=species:S:1:pos:R:3 pbc="T T T"
Dy 0.0000 0.0000 0.0000
Dy 0.8167 5.9969 0.0000
Dy 2.1975 11.8211 0.0000
Dy 3.5337 1.5482 0.0000
Dy 4.9145 16.2699 0.0000
Dy 5.7312 10.2730 0.0000
Dy 6.5480 4.2760 0.0000
Dy 7.9287 18.9977 0.0000
Dy 9.2650 8.7248 0.0000
Dy 10.6457 14.5490 0.0000
Ho 0.7445 3.0024 1.7731
Ho 0.8810 8.9526 1.7731
Ho 2.1203 18.0209 0.0000
Ho 3.6109 7.7480 0.0000
Ho 4.8502 19.2255 1.7731
Ho 4.9867 13.2754 1.7731
Ho 6.4758 7.2705 1.7731
Ho 6.6122 1.3204 1.7731
Ho 7.8515 12.7979 0.0000
Ho 9.3422 2.5250 0.0000
Ho 10.5815 11.5934 1.7731
Ho 10.7179 17.5435 1.7731
Th 2.1247 15.0707 1.7731
Th 3.6066 4.7977 1.7731
Th 7.8559 15.7482 1.7731
Th 9.3378 5.4753 1.7731
```

No. 18
A relaxed structure of Dy2HoTh5. Source: Alexandria via LeMat-Bulk, functional GGA-PBE.

Magnetic moment, μB/f.u.: 0.0
Uncorrected energy, eV/atom: -6.31
D(E_F), states/eV per cell: 25.36

Geometry as extended XYZ:
```
16
Lattice="7.1325 0.0000 0.0000 0.0000 14.3006 0.0000 0.0000 0.0000 5.0257" Properties=species:S:1:pos:R:3 pbc="T T T"
Dy 1.7791 1.7905 0.0000
Dy 1.7872 8.9408 0.0000
Dy 5.3453 5.3599 0.0000
Dy 5.3534 12.5102 0.0000
Ho 0.0000 0.0000 2.5128
Ho 3.5662 7.1503 2.5128
Th 0.0000 7.1503 2.5128
Th 0.0085 10.7211 2.5128
Th 1.7503 5.3318 0.0000
Th 1.8159 12.4821 0.0000
Th 3.5578 3.5708 2.5128
Th 3.5662 0.0000 2.5128
Th 3.5747 10.7298 2.5128
Th 5.3166 1.8185 0.0000
Th 5.3821 8.9688 0.0000
Th 7.1240 3.5795 2.5128
```

No. 19
A relaxed structure of Dy5Ho2Th. Source: Alexandria via LeMat-Bulk, functional GGA-PBE.

Magnetic moment, μB/f.u.: 0.0
Uncorrected energy, eV/atom: -4.92
D(E_F), states/eV per cell: 22.86

Geometry as extended XYZ:
```
16
Lattice="7.0863 0.0000 0.0000 0.0000 14.1938 0.0000 0.0000 0.0000 5.0130" Properties=species:S:1:pos:R:3 pbc="T T T"
Dy 0.0000 0.0000 0.0000
Dy 0.0103 3.5629 0.0000
Dy 1.7428 5.3456 2.5065
Dy 1.8003 12.4426 2.5065
Dy 3.5329 10.6598 0.0000
Dy 3.5432 7.0969 0.0000
Dy 3.5535 3.5340 0.0000
Dy 5.2860 1.7513 2.5065
Dy 5.3435 8.8482 2.5065
Dy 7.0761 10.6309 0.0000
Ho 1.7314 8.8463 2.5065
Ho 1.8118 1.7494 2.5065
Ho 5.2745 12.4445 2.5065
Ho 5.3550 5.3476 2.5065
Th 0.0000 7.0969 0.0000
Th 3.5432 0.0000 0.0000
```